1.
# K3Mn3VSe8, relaxed, DFT PBE-GGA
data_K3Mn3VSe8
_cell_length_a 7.559
_cell_length_b 7.559
_cell_length_c 8.862
_cell_angle_alpha 115.27
_cell_angle_beta 115.27
_cell_angle_gamma 60.04
_space_group_name_H-M_alt 'P 1'
_space_group_IT_number 1
_space_group_name_Hall 'P 1'
loop_
_atom_site_label
_atom_site_fract_x
_atom_site_fract_y
_atom_site_fract_z
K1 0.000 0.000 0.000
K2 0.000 0.500 0.000
K3 0.500 0.000 0.000
Mn1 0.000 0.500 0.500
Mn2 0.500 0.000 0.500
Mn3 0.500 0.500 0.500
V1 0.000 0.000 0.500
Se1 0.225 0.727 0.678
Se2 0.226 0.226 0.678
Se3 0.273 0.775 0.322
Se4 0.274 0.274 0.321
Se5 0.726 0.726 0.679
Se6 0.727 0.225 0.678
Se7 0.774 0.774 0.322
Se8 0.775 0.273 0.322
# **Uncorrected energy**: -78.81 eV/f.u.
# **Raw formation energy**: -734 meV per atom

2.
# BiAsC, relaxed, DFT PBE-GGA
data_BiAsC
_cell_length_a 3.244
_cell_length_b 3.246
_cell_length_c 6.942
_cell_angle_alpha 82.10
_cell_angle_beta 88.88
_cell_angle_gamma 60.04
_space_group_name_H-M_alt 'P 1'
_space_group_IT_number 1
_space_group_name_Hall 'P 1'
loop_
_atom_site_label
_atom_site_fract_x
_atom_site_fract_y
_atom_site_fract_z
Bi1 0.000 0.000 0.000
As1 0.603 0.839 0.526
C1 0.954 0.127 0.654
# **Uncorrected energy**: -15.71 eV/f.u.
# **Formation enthalpy at 0 K**: 682 meV per atom

3.
# SiPOs2, relaxed, DFT PBE-GGA
data_SiPOs2
_cell_length_a 4.195
_cell_length_b 4.195
_cell_length_c 2.960
_cell_angle_alpha 90.00
_cell_angle_beta 90.00
_cell_angle_gamma 90.00
_space_group_name_H-M_alt 'P 1'
_space_group_IT_number 1
_space_group_name_Hall 'P 1'
loop_
_atom_site_label
_atom_site_fract_x
_atom_site_fract_y
_atom_site_fract_z
Si1 0.000 0.000 0.000
P1 0.500 0.500 0.000
Os1 0.000 0.500 0.500
Os2 0.500 0.000 0.500
# **Uncorrected energy**: -33.66 eV/f.u.
# **Raw formation energy**: -91 meV per atom